A plane-wave DFT calculation with PBE-GGA was carried out for a geometry-optimized Pm6SbAs2S3 structure.

```
Pm6SbAs2S3
1.0
4.192 0.000 0.000
0.000 8.358 0.329
-2.096 -2.381 8.799
Pm S Sb As
6 3 1 2
direct
0.673 0.088 0.346
0.000 0.267 0.000
0.327 0.912 0.654
0.000 0.733 0.000
0.333 0.417 0.666
0.667 0.583 0.334
0.835 0.168 0.669
0.500 0.500 0.000
0.165 0.832 0.331
0.500 0.000 0.000
0.167 0.334 0.334
0.833 0.666 0.666
```

## Properties
SG: C2/m, No. 12
Crystal system: monoclinic
Raw formation energy (eV per atom): -1.72
V (Å³/cell): 312
DOS at the Fermi energy (states/eV/cell): 4.4